Compound: Zr2Ga3Mo4N3
Source: OQMD
Functional: PBE
Structure: relaxed

As for the total energy: -8.432 eV per atom.

The structure belongs to space group C2/c (No. 15); the cell edges are 9.389, 5.442 and 13.561 Å and the angles 90.00°, 104.00° and 90.00°. The inequivalent atoms are Zr at (0.048, 0.084, 0.389), Ga at (0.000, 0.450, 0.750), Ga at (0.230, 0.146, 0.748), Mo at (0.113, 0.431, 0.579), Mo at (0.215, 0.411, 0.922), N at (0.075, 0.228, 0.000) and N at (0.250, 0.250, 0.500).